This record from Alexandria via LeMat-Bulk describes crystalline Ba2LiCaNi at its relaxed geometry. The functional is GGA-PBE.

## Properties
Its final energy is -2.546 eV per atom. The energy relative to the elements comes out at 16 kJ/mol of atoms. For the spin magnetization, the calculation gives 0.00 μB per cell. Its offset from the most stable computed form is 127 meV per atom.

Cell: 6.103 6.103 5.275 Å, 90.00 90.00 90.00°
Atoms (fractional coordinates):
Ba 0.500 0.000 0.000
Ba 0.000 0.500 0.000
Li 0.000 0.000 0.500
Ni 0.000 0.000 0.000
Ca 0.500 0.500 0.500